# 1
# CaBeRe2

A geometry-optimized CaBeRe2 structure (PBE, Alexandria).

a = 9.3136 Å, b = 9.3136 Å, c = 9.3136 Å
α = 17.26°, β = 17.26°, γ = 17.26°
Element x y z (fractional)
Ca1 0.0000 0.0000 0.0000
Be1 0.5000 0.5000 0.5000
Re1 0.2375 0.2375 0.2375
Re2 0.7625 0.7625 0.7625

Formation energy from the elements = 0.638 eV/atom
Space-group type = R-3m, No. 166

---

# 2
# CeZnAs2Rh5

A geometry-optimized CeZnAs2Rh5 structure (PBE, Alexandria).

a = 4.1220 Å, b = 4.1220 Å, c = 8.6629 Å
α = 90.00°, β = 90.00°, γ = 90.00°
Element x y z (fractional)
Ce1 0.0000 0.0000 0.0000
Zn1 0.0000 0.0000 0.5000
As1 0.5000 0.5000 0.1464
As2 0.5000 0.5000 0.8536
Rh1 0.0000 0.5000 0.2918
Rh2 0.0000 0.5000 0.7082
Rh3 0.5000 0.0000 0.2918
Rh4 0.5000 0.0000 0.7082
Rh5 0.5000 0.5000 0.5000

Formation energy from the elements = -0.573 eV/atom
Space-group type = P4/mmm, No. 123

---

# 3
# AlSiNi3

A geometry-optimized AlSiNi3 structure (PBE, Alexandria).

a = 4.1635 Å, b = 4.1635 Å, c = 4.1635 Å
α = 90.00°, β = 90.00°, γ = 90.00°
Element x y z (fractional)
Al1 0.0000 0.0000 0.0000
Si1 0.5000 0.5000 0.5000
Ni1 0.0000 0.5000 0.5000
Ni2 0.5000 0.0000 0.5000
Ni3 0.5000 0.5000 0.0000

Raw formation energy = 0.168 eV per atom
Energy relative to the lowest polymorph listed for this composition = 0.7208 eV per atom
Space-group type = Pm-3m, No. 221

---

Let's list calculated total energy in order: -7.018, -6.491, -5.134 eV/atom.
Let's list DOS(E_F) in order: 2.67, 7.28, 3.06 states/eV/f.u..